# 1
VASP calculation (PBE) on a geometry-optimized RbTc structure.

## Properties
The calculation puts the total energy at -4.74 eV per atom. The space group is P2_12_12_1, No. 19. The energy relative to the lowest polymorph listed for this composition comes out at 0.331 eV per atom. The calculation puts the calculated formation energy at 0.929 eV per atom. For the spin magnetization, the calculation gives 0.00 Bohr magnetons per cell.

The structure in POSCAR format:
```
RbTc
1.0
-3.812 -3.906 10.152
-3.717 -1.884 -2.121
5.702 -9.530 -1.526
Rb Tc
8 8
direct
0.363 0.751 0.012
0.858 0.758 0.629
0.642 0.242 0.129
0.637 0.251 0.488
0.863 0.749 0.988
0.137 0.249 0.512
0.142 0.258 0.871
0.358 0.742 0.371
0.405 0.824 0.696
0.087 0.676 0.204
0.595 0.324 0.804
0.587 0.824 0.796
0.413 0.324 0.704
0.913 0.176 0.296
0.095 0.176 0.196
0.905 0.676 0.304
```

***

# 2
VASP calculation (PBE) on a geometry-optimized RbTc structure.

## Properties
The calculation puts the total energy at -4.45 eV per atom. The space group is P6_3/mmc, No. 194. The energy relative to the lowest polymorph listed for this composition comes out at 0.615 eV per atom. The calculation puts the calculated formation energy at 1.213 eV per atom. For the spin magnetization, the calculation gives 0.00 Bohr magnetons per cell.

The structure in POSCAR format:
```
RbTc
1.0
12.698 0.000 0.000
-6.349 10.996 0.000
0.000 0.000 3.633
Tc Rb
6 6
direct
0.937 0.469 0.750
0.469 0.531 0.250
0.469 0.937 0.250
0.531 0.469 0.750
0.063 0.531 0.250
0.531 0.063 0.750
0.629 0.814 0.750
0.371 0.186 0.250
0.814 0.629 0.250
0.186 0.371 0.750
0.814 0.186 0.250
0.186 0.814 0.750
```

***

# 3
VASP calculation (PBE) on a geometry-optimized RbTc structure.

## Properties
The calculation puts the total energy at -4.46 eV per atom. The space group is I4/mmm, No. 139. The energy relative to the lowest polymorph listed for this composition comes out at 0.605 eV per atom. The calculation puts the calculated formation energy at 1.204 eV per atom. For the spin magnetization, the calculation gives 0.00 Bohr magnetons per cell.

The structure in POSCAR format:
```
RbTc
1.0
-12.130 5.151 4.902
-4.682 -13.081 2.160
1.417 0.061 3.442
Tc Rb
8 8
direct
0.783 0.783 0.000
0.217 0.783 0.000
0.783 0.217 0.000
0.717 0.283 0.500
0.217 0.217 0.000
0.717 0.717 0.500
0.283 0.717 0.500
0.283 0.283 0.500
0.258 0.000 0.500
0.500 0.242 0.000
0.242 0.500 0.000
0.500 0.758 0.000
0.742 0.000 0.500
0.000 0.258 0.500
0.758 0.500 0.000
0.000 0.742 0.500
```

***

# 4
VASP calculation (PBE) on a geometry-optimized RbTc structure.

## Properties
The calculation puts the total energy at -3.92 eV per atom. The space group is Cmmm, No. 65. The energy relative to the lowest polymorph listed for this composition comes out at 1.147 eV per atom. The calculation puts the calculated formation energy at 1.746 eV per atom. For the spin magnetization, the calculation gives 0.00 Bohr magnetons per cell.

The structure in POSCAR format:
```
RbTc
1.0
-1.130 0.750 4.218
3.233 -0.661 0.984
1.412 5.906 -0.671
Rb Tc
2 2
direct
0.000 0.500 0.500
0.500 0.000 0.500
0.500 0.500 0.000
0.000 0.000 0.000
```

***

# 5
VASP calculation (PBE) on a geometry-optimized RbTc structure.

## Properties
The calculation puts the total energy at -3.85 eV per atom. The space group is P6_3mc, No. 186. The energy relative to the lowest polymorph listed for this composition comes out at 1.222 eV per atom. The calculation puts the calculated formation energy at 1.820 eV per atom. For the spin magnetization, the calculation gives 0.00 Bohr magnetons per cell.

The structure in POSCAR format:
```
RbTc
1.0
2.926 0.000 0.000
-1.463 2.534 0.000
0.000 0.000 12.485
Tc Rb
2 2
direct
0.333 0.667 0.671
0.667 0.333 0.171
0.333 0.667 0.411
0.667 0.333 0.911
```

***

# 6
VASP calculation (PBE) on a geometry-optimized RbTc structure.

## Properties
The calculation puts the total energy at -4.57 eV per atom. The space group is Pmn2_1, No. 31. The energy relative to the lowest polymorph listed for this composition comes out at 0.497 eV per atom. The calculation puts the calculated formation energy at 1.095 eV per atom. For the spin magnetization, the calculation gives 5.61 Bohr magnetons per cell.

The structure in POSCAR format:
```
RbTc
1.0
-0.829 15.349 -2.962
-1.097 -0.663 -3.127
-7.885 0.104 2.744
Tc Rb
6 6
direct
0.586 0.984 0.932
0.414 0.984 0.932
0.914 0.016 0.432
0.086 0.016 0.432
0.000 0.517 0.562
0.500 0.483 0.062
0.500 0.481 0.576
0.715 0.512 0.250
0.285 0.512 0.250
0.215 0.488 0.750
0.000 0.519 0.076
0.785 0.488 0.750
```